Entry 1:
First-principles (PBE) data for SrAsRh2Cl after structural relaxation, as listed in Alexandria via LeMat-Bulk.

Cell lengths 4.5175, 6.4801, 4.5175 Å; angles 90.00, 90.00, 90.00 degrees
Closest atoms and distances in Å follow each position.
Element x y z (fractional)
Sr1 0.0000 0.5000 0.0000  4 Cl 3.19, 2 As 3.24
Rh1 0.0000 0.0000 0.5000  2 As 2.26
Rh2 0.5000 0.0000 0.0000  2 As 2.26
Cl1 0.5000 0.5000 0.5000  4 Sr 3.19
As1 0.0000 0.0000 0.0000  4 Rh 2.26



Entry 2:
First-principles (PBE) data for As2RuCl4 after structural relaxation, as listed in Alexandria via LeMat-Bulk.

Cell lengths 4.6667, 4.6667, 9.3583 Å; angles 75.56, 75.56, 90.00 degrees
Closest atoms and distances in Å follow each position.
Element x y z (fractional)
As1 0.3348 0.3348 0.3305  1 Cl 2.14
As2 0.6652 0.6652 0.6695  1 Cl 2.14
Cl1 0.7873 0.7873 0.4254  1 As 2.14
Cl2 0.2127 0.2127 0.5746  1 As 2.14
Cl3 0.5000 0.0000 0.0000  2 Ru 2.33
Cl4 0.0000 0.5000 0.0000  2 Ru 2.33
Ru1 0.0000 0.0000 0.0000  4 Cl 2.33



no.,total DFT energy (no corrections) (eV per cell),theoretical density (Mg/m³)
1,-24.82,5.1
2,-23.65,3.4